The following is a DFT calculation (PBE-GGA) of NaNdSiS4 after structural relaxation.

```
data_NaNdSiS4
_chemical_formula_sum 'Na2 Nd2 Si2 S8'
_cell_length_a 6.5257
_cell_length_b 6.5853
_cell_length_c 8.0800
_cell_angle_alpha 90.00
_cell_angle_beta 105.17
_cell_angle_gamma 90.00
_space_group_name_H-M_alt 'P 1 21/m 1'
_space_group_IT_number 11
loop_
_space_group_symop_operation_xyz
'x,y,z'
'-x,-y,-z'
'-x,y+1/2,-z'
'x,-y+1/2,z'
loop_
_atom_site_label
_atom_site_fract_x
_atom_site_fract_y
_atom_site_fract_z
Na1 0.2460 0.2500 0.4391
Nd1 0.2736 0.2500 0.9453
Si1 0.2683 0.7500 0.1934
S1 0.0655 0.7500 0.3566
S2 0.1002 0.7500 0.9278
S3 0.4843 0.0006 0.2381
```

## Properties
- Crystal system: monoclinic
- Magnetic moment: 0.000 μB per atom
- Uncorrected formation energy: -1.34 eV/atom
- Total DFT energy (no corrections): -0.3930 Ry per atom